1.
Compound: PaGaSi
Source: the Open Quantum Materials Database
Functional: PBE-GGA
Structure: relaxed

Cell lengths 6.629, 6.629, 6.629 Å; angles 90.00, 90.00, 90.00 degrees
Space group F-43m (No. 216)
Symmetry-distinct sites (fractional):
Pa (0.000, 0.000, 0.000) x4
Ga (0.250, 0.250, 0.750) x4
Si (0.250, 0.250, 0.250) x4

Results
* energy: -5.78 eV/atom
* calculated density: 7497 kg/m³

***

2.
Compound: NaAg3S2
Source: the Open Quantum Materials Database
Functional: PBE-GGA
Structure: relaxed

Cell lengths 6.910, 12.141, 7.041 Å; angles 90.00, 90.00, 90.00 degrees
Space group Ibam (No. 72)
Symmetry-distinct sites (fractional):
Na (0.000, 0.000, 0.250) x4
Ag (0.000, 0.500, 0.000) x4
Ag (0.250, 0.250, 0.250) x8
S (0.225, 0.118, 0.000) x8

Results
* energy: -3.36 eV/atom
* calculated density: 4619 kg/m³

***

3.
Compound: ScInCoHg
Source: the Open Quantum Materials Database
Functional: PBE-GGA
Structure: relaxed

Cell lengths 6.676, 6.676, 6.676 Å; angles 90.00, 90.00, 90.00 degrees
Space group F-43m (No. 216)
Symmetry-distinct sites (fractional):
Sc (0.000, 0.000, 0.000) x4
In (0.000, 0.000, 0.500) x4
Co (0.250, 0.250, 0.750) x4
Hg (0.250, 0.250, 0.250) x4

Results
* energy: -4.18 eV/atom
* calculated density: 9360 kg/m³

***

4.
Compound: NaLuPbSe3
Source: the Open Quantum Materials Database
Functional: PBE-GGA
Structure: relaxed

Cell lengths 13.581, 4.186, 12.269 Å; angles 90.00, 90.00, 90.00 degrees
Space group Pnma (No. 62)
Symmetry-distinct sites (fractional):
Na (0.040, 0.250, 0.086) x4
Lu (0.005, 0.750, 0.357) x4
Pb (0.235, 0.750, 0.948) x4
Se (0.096, 0.250, 0.855) x4
Se (0.113, 0.750, 0.554) x4
Se (0.128, 0.250, 0.282) x4

Results
* energy: -4.50 eV/atom
* calculated density: 6114 kg/m³

***

5.
Compound: ZrF
Source: the Open Quantum Materials Database
Functional: PBE-GGA
Structure: relaxed

Cell lengths 4.871, 4.871, 4.871 Å; angles 90.00, 90.00, 90.00 degrees
Space group Fm-3m (No. 225)
Symmetry-distinct sites (fractional):
Zr (0.000, 0.000, 0.000) x4
F (0.000, 0.000, 0.500) x4

Results
* energy: -6.48 eV/atom
* calculated density: 6335 kg/m³

***

6.
Compound: Tm2Ge2O7
Source: the Open Quantum Materials Database
Functional: PBE-GGA
Structure: relaxed

Cell lengths 6.612, 6.690, 6.778 Å; angles 85.71, 64.65, 84.89 degrees
Space group P1 (No. 1)
Symmetry-distinct sites (fractional):
Tm (0.000, 0.000, 0.000) x1
Tm (0.018, 0.684, 0.495) x1
Tm (0.494, 0.941, 0.498) x1
Tm (0.550, 0.393, 0.145) x1
Ge (0.095, 0.517, 0.972) x1
Ge (0.531, 0.441, 0.646) x1
Ge (0.531, 0.863, 0.013) x1
Ge (0.989, 0.183, 0.506) x1
O (0.022, 0.710, 0.148) x1
O (0.122, 0.007, 0.633) x1
O (0.159, 0.373, 0.351) x1
O (0.225, 0.590, 0.688) x1
O (0.369, 0.408, 0.938) x1
O (0.380, 0.963, 0.866) x1
O (0.394, 0.720, 0.264) x1
O (0.520, 0.273, 0.468) x1
O (0.613, 0.053, 0.132) x1
O (0.669, 0.660, 0.527) x1
O (0.764, 0.315, 0.714) x1
O (0.781, 0.716, 0.876) x1
O (0.901, 0.004, 0.383) x1
O (0.917, 0.323, 0.051) x1

Results
* energy: -7.40 eV/atom
* calculated density: 7330 kg/m³

***

7.
Compound: SmTlPb
Source: the Open Quantum Materials Database
Functional: PBE-GGA
Structure: relaxed

Cell lengths 7.345, 7.345, 7.345 Å; angles 90.00, 90.00, 90.00 degrees
Space group F-43m (No. 216)
Symmetry-distinct sites (fractional):
Sm (0.000, 0.000, 0.000) x4
Tl (0.250, 0.250, 0.750) x4
Pb (0.000, 0.000, 0.500) x4

Results
* energy: -3.66 eV/atom
* calculated density: 9421 kg/m³

***

8.
Compound: DyNbN2O
Source: the Open Quantum Materials Database
Functional: PBE-GGA
Structure: relaxed

Cell lengths 7.793, 7.840, 5.612 Å; angles 90.00, 133.70, 90.00 degrees
Space group C2/m (No. 12)
Symmetry-distinct sites (fractional):
Dy (0.231, 0.000, 0.497) x4
Nb (0.250, 0.250, 0.000) x4
N (0.000, 0.204, 0.500) x4
N (0.139, 0.500, 0.932) x4
O (0.000, 0.167, 0.000) x4

Results
* energy: -8.95 eV/atom
* calculated density: 8023 kg/m³

***

9.
Compound: NdGa3Ni
Source: the Open Quantum Materials Database
Functional: PBE-GGA
Structure: relaxed

Cell lengths 4.257, 4.257, 10.216 Å; angles 90.00, 90.00, 90.00 degrees
Space group I4mm (No. 107)
Symmetry-distinct sites (fractional):
Nd (0.000, 0.000, 0.000) x2
Ga (0.000, 0.000, 0.410) x2
Ga (0.000, 0.500, 0.246) x4
Ni (0.000, 0.000, 0.639) x2

Results
* energy: -4.50 eV/atom
* calculated density: 7393 kg/m³

***

10.
Compound: ErCuTe3Pb
Source: the Open Quantum Materials Database
Functional: PBE-GGA
Structure: relaxed

Cell lengths 8.953, 4.474, 17.247 Å; angles 90.00, 90.00, 90.00 degrees
Space group Pnma (No. 62)
Symmetry-distinct sites (fractional):
Er (0.242, 0.250, 0.037) x4
Cu (0.128, 0.750, 0.868) x4
Te (0.014, 0.750, 0.095) x4
Te (0.118, 0.250, 0.441) x4
Te (0.186, 0.750, 0.715) x4
Pb (0.082, 0.750, 0.283) x4

Results
* energy: -4.21 eV/atom
* calculated density: 7892 kg/m³

***

11.
Compound: UNiTe
Source: the Open Quantum Materials Database
Functional: PBE-GGA
Structure: relaxed

Cell lengths 6.771, 6.771, 6.771 Å; angles 90.00, 90.00, 90.00 degrees
Space group F-43m (No. 216)
Symmetry-distinct sites (fractional):
U (0.000, 0.000, 0.000) x4
Ni (0.250, 0.250, 0.750) x4
Te (0.250, 0.250, 0.250) x4

Results
* energy: -6.22 eV/atom
* calculated density: 9080 kg/m³

***

12.
Compound: Pr2ThIr9
Source: the Open Quantum Materials Database
Functional: PBE-GGA
Structure: relaxed

Cell lengths 5.3821, 5.3821, 26.7457 Å; angles 90.00, 90.00, 120.00 degrees
Space group R-3m (No. 166, hexagonal axes)
Symmetry-distinct sites (fractional):
Pr (0.0000, 0.0000, 0.1404) x6
Th (0.0000, 0.0000, 0.0000) x3
Ir (0.0000, 0.0000, 0.3324) x6
Ir (0.0000, 0.0000, 0.5000) x3
Ir (0.0026, 0.5013, 0.0808) x18

Results
* energy: -8.62 eV/atom
* calculated density: 16660 kg/m³
* energy of formation: -6.788 eV/f.u.